# 1
Density functional theory data (PBE) for Ce2PmDyN4 after structural relaxation. Values from VASP.

Results
Space group ... P2/m, No. 10

Cell and atoms, written as Quantum ESPRESSO input:
```
&SYSTEM
  ibrav = 0, nat = 8, ntyp = 4
/
ATOMIC_SPECIES
Ce 140.12 Ce.upf
Pm 145.00 Pm.upf
Dy 162.50 Dy.upf
N 14.01 N.upf
ATOMIC_POSITIONS crystal
Ce 0.000 0.000 0.000
Ce 0.000 0.500 0.500
Pm 0.500 0.000 0.500
Dy 0.500 0.500 0.000
N 0.242 0.500 0.242
N 0.247 0.000 0.755
N 0.753 0.000 0.245
N 0.758 0.500 0.758
CELL_PARAMETERS angstrom
6.150 0.000 0.000
0.000 3.555 0.000
-2.055 0.000 5.809
```

# 2
Density functional theory data (PBE) for Ce3Pm2DyN6 after structural relaxation. Values from VASP.

Results
Space group ... C2/m, No. 12

Cell and atoms, written as Quantum ESPRESSO input:
```
&SYSTEM
  ibrav = 0, nat = 12, ntyp = 4
/
ATOMIC_SPECIES
Ce 140.12 Ce.upf
Pm 145.00 Pm.upf
Dy 162.50 Dy.upf
N 14.01 N.upf
ATOMIC_POSITIONS crystal
Ce 0.000 0.000 0.000
Ce 0.334 0.666 0.000
Ce 0.666 0.334 0.000
Pm 0.167 0.833 0.500
Pm 0.833 0.167 0.500
Dy 0.500 0.500 0.500
N 0.089 0.414 0.243
N 0.261 0.261 0.758
N 0.414 0.089 0.243
N 0.586 0.911 0.757
N 0.739 0.739 0.242
N 0.911 0.586 0.757
CELL_PARAMETERS angstrom
3.090 -5.351 0.000
3.090 5.351 0.000
-2.060 0.000 5.811
```

VASP energy (computed, eV/cell): -66.82 -100.11